(1)
Entry from Alexandria via LeMat-Bulk: a geometry-optimized Zr2TiPb structure (PBE).

```
data_Zr2TiPb
_chemical_formula_sum 'Zr4 Ti2 Pb2'
_cell_length_a 3.1546
_cell_length_b 5.6043
_cell_length_c 10.3755
_cell_angle_alpha 99.71
_cell_angle_beta 96.02
_cell_angle_gamma 97.83
_symmetry_space_group_name_H-M 'P -1'
_symmetry_Int_Tables_number 2
_symmetry_space_group_name_Hall '-P 1'
loop_
_atom_site_label
_atom_site_type_symbol
_atom_site_fract_x
_atom_site_fract_y
_atom_site_fract_z
_atom_site_occupancy
Zr1 Zr 0.0207 0.2670 0.1151 1
Zr2 Zr 0.3821 0.1511 0.3939 1
Ti1 Ti 0.0381 0.4096 0.6236 1
Pb1 Pb 0.4494 0.2190 0.8455 1
```

Calculated values
The density of states at the Fermi level is 3.55 states/eV/f.u. For the calculated volume, the calculation gives 177.6 Å³ per cell. The total energy comes out at -57.87 eV per cell. The value obtained for the calculated density is 8.18 g/cm3. The calculation puts the calculated formation energy at -0.23 eV per formula unit.


(2)
Entry from Alexandria via LeMat-Bulk: a geometry-optimized BeFeCoP structure (PBE).

```
data_BeFeCoP
_chemical_formula_sum 'Be4 Fe4 Co4 P4'
_cell_length_a 5.2952
_cell_length_b 5.2952
_cell_length_c 5.2952
_cell_angle_alpha 90.00
_cell_angle_beta 90.00
_cell_angle_gamma 90.00
_symmetry_space_group_name_H-M 'F -4 3 m'
_symmetry_Int_Tables_number 216
_symmetry_space_group_name_Hall 'F -4 2 3'
loop_
_atom_site_label
_atom_site_type_symbol
_atom_site_fract_x
_atom_site_fract_y
_atom_site_fract_z
_atom_site_occupancy
Be1 Be 0.0000 0.0000 0.0000 1
Fe1 Fe 0.2500 0.2500 0.2500 1
Co1 Co 0.2500 0.2500 0.7500 1
P1 P 0.0000 0.0000 0.5000 1
```

Calculated values
The density of states at the Fermi level is 1.95 states/eV/f.u. For the calculated volume, the calculation gives 148.5 Å³ per cell. The total energy comes out at -106.10 eV per cell. The value obtained for the calculated density is 6.92 g/cm3. The calculation puts the calculated formation energy at -1.82 eV per formula unit.


(3)
Entry from Alexandria via LeMat-Bulk: a geometry-optimized Zr6Te2Pt structure (PBE).

```
data_Zr6Te2Pt
_chemical_formula_sum 'Zr6 Te2 Pt1'
_cell_length_a 7.7954
_cell_length_b 7.7954
_cell_length_c 3.7740
_cell_angle_alpha 90.00
_cell_angle_beta 90.00
_cell_angle_gamma 120.00
_symmetry_space_group_name_H-M 'P -6 2 m'
_symmetry_Int_Tables_number 189
_symmetry_space_group_name_Hall 'P -6 -2'
loop_
_atom_site_label
_atom_site_type_symbol
_atom_site_fract_x
_atom_site_fract_y
_atom_site_fract_z
_atom_site_occupancy
Zr1 Zr 0.0000 0.4087 0.0000 1
Zr2 Zr 0.0000 0.7501 0.5000 1
Te1 Te 0.3333 0.6667 0.5000 1
Pt1 Pt 0.0000 0.0000 0.0000 1
```

Calculated values
The density of states at the Fermi level is 4.79 states/eV/f.u. For the calculated volume, the calculation gives 198.6 Å³ per cell. The total energy comes out at -70.06 eV per cell. The value obtained for the calculated density is 8.34 g/cm3. The raw formation energy is -716 meV/atom.


(4)
Entry from Alexandria via LeMat-Bulk: a geometry-optimized NdDy4Er3 structure (PBE).

```
data_NdDy4Er3
_chemical_formula_sum 'Nd2 Dy8 Er6'
_cell_length_a 11.2507
_cell_length_b 7.2562
_cell_length_c 6.2665
_cell_angle_alpha 90.00
_cell_angle_beta 90.00
_cell_angle_gamma 90.00
_symmetry_space_group_name_H-M 'P m n 21'
_symmetry_Int_Tables_number 31
_symmetry_space_group_name_Hall 'P 2ac -2'
loop_
_atom_site_label
_atom_site_type_symbol
_atom_site_fract_x
_atom_site_fract_y
_atom_site_fract_z
_atom_site_occupancy
Nd1 Nd 0.0000 0.1254 0.0000 1
Dy1 Dy 0.0000 0.3752 0.5015 1
Dy2 Dy 0.0000 0.6251 0.9992 1
Dy3 Dy 0.2479 0.6246 0.3338 1
Er1 Er 0.0000 0.8747 0.5002 1
Er2 Er 0.2500 0.1253 0.3335 1
```

Calculated values
The density of states at the Fermi level is 12.71 states/eV/f.u. For the calculated volume, the calculation gives 511.6 Å³ per cell. The total energy comes out at -73.59 eV per cell. The value obtained for the calculated density is 8.41 g/cm3. As for the distance to the lowest polymorph of the same formula: 0.0 kJ per mole of atoms. The calculation puts the calculated formation energy at 0.07 eV per formula unit.